1.
Density functional theory data (PBE) for an optimized crystal structure of PrDyScAg.

a b c (Å): 5.3495 5.3495 5.3495
angles (deg): 60.00 60.00 60.00
With the nearest neighbours (Å) after each atom.
Positions (direct):
Pr  0.5000  0.5000  0.5000  4 Ag 3.28, 4 Sc 3.28
Sc  0.7500  0.7500  0.7500  4 Pr 3.28, 4 Dy 3.28
Ag  0.2500  0.2500  0.2500  4 Dy 3.28, 4 Pr 3.28
Dy  0.0000  0.0000  0.0000  4 Sc 3.28, 4 Ag 3.28

Summary:
symmetry: F-43m (216)
N(E_F): 4.49 states/eV/f.u.
ΔE to the lowest computed polymorph: 0.59 eV per formula unit

2.
Density functional theory data (PBE) for an optimized crystal structure of V3Au.

a b c (Å): 4.8803 4.8803 4.8803
angles (deg): 90.00 90.00 90.00
With the nearest neighbours (Å) after each atom.
Positions (direct):
V  0.5000  0.2500  0.0000  2 V 2.44, 4 Au 2.73
V  0.5000  0.7500  0.0000  2 V 2.44, 4 Au 2.73
V  0.2500  0.0000  0.5000  2 V 2.44, 4 Au 2.73
V  0.7500  0.0000  0.5000  2 V 2.44, 4 Au 2.73
V  0.0000  0.5000  0.2500  2 V 2.44, 4 Au 2.73
V  0.0000  0.5000  0.7500  2 V 2.44, 4 Au 2.73
Au  0.5000  0.5000  0.5000  12 V 2.73
Au  0.0000  0.0000  0.0000  12 V 2.73

Summary:
symmetry: Pm-3n (223)
N(E_F): 6.09 states/eV/f.u.
ΔE to the lowest computed polymorph: 0.00 eV per formula unit